# Cs2MnCo3F12 GGA+U optimized geometry
# N(E_F) in states/eV/cell: 5.66
# ρ in g/cm³: 4.126
# Uncorrected energy in eV per atom: -4.967
data_Cs2MnCo3F12
_chemical_formula_sum 'Cs2 Mn1 Co3 F12'
_cell_length_a 7.493
_cell_length_b 7.493
_cell_length_c 7.493
_cell_angle_alpha 59.20
_cell_angle_beta 59.20
_cell_angle_gamma 59.20
_space_group_name_H-M_alt 'P 1'
_space_group_IT_number 1
loop_
_space_group_symop_operation_xyz
'x,y,z'
loop_
_atom_site_label
_atom_site_fract_x
_atom_site_fract_y
_atom_site_fract_z
F1 0.067 0.677 0.677
F2 0.063 0.700 0.063
F3 0.677 0.067 0.677
F4 0.300 0.937 0.937
F5 0.937 0.937 0.300
F6 0.323 0.323 0.933
F7 0.323 0.933 0.323
F8 0.677 0.677 0.067
F9 0.933 0.323 0.323
F10 0.937 0.300 0.937
F11 0.700 0.063 0.063
F12 0.063 0.063 0.700
Co1 0.000 0.500 0.000
Co2 0.000 0.000 0.500
Co3 0.500 0.000 0.000
Cs1 0.618 0.618 0.618
Cs2 0.382 0.382 0.382
Mn1 0.000 0.000 0.000